1.
Here is an optimized crystal structure of ScRe3Os from Alexandria. Energies are from PBE.

abc: 4.4640 4.4640 4.4640
angles: 90.00 90.00 90.00
Closest atoms and distances in Å follow each position.
Fractional coordinates of all 5 atoms:
Sc (0.0000, 0.0000, 0.0000)  6 Re 2.23
Re (0.0000, 0.5000, 0.0000)  2 Sc 2.23
Re (0.0000, 0.0000, 0.5000)  2 Sc 2.23
Re (0.5000, 0.0000, 0.0000)  2 Sc 2.23
Os (0.5000, 0.5000, 0.5000)  12 Re 3.16

size of the total moment: 0.00 μB/f.u.
volume: 17.79 A^3/atom
space group: Pm-3m, No. 221
relative energy among the computed polymorphs: 101.8 kJ per mole of atoms
energy of formation from the pure elements: 13.2 eV per formula unit

2.
Here is an optimized crystal structure of Sc4ReOs from Alexandria. Energies are from PBE.

abc: 5.3641 5.3641 5.3641
angles: 60.00 60.00 60.00
Closest atoms and distances in Å follow each position.
Fractional coordinates of all 6 atoms:
Sc (0.8750, 0.3750, 0.3750)  6 Sc 2.68
Sc (0.3750, 0.3750, 0.8750)  6 Sc 2.68
Sc (0.3750, 0.8750, 0.3750)  6 Sc 2.68
Sc (0.3750, 0.3750, 0.3750)  6 Sc 2.68
Re (0.0000, 0.0000, 0.0000)  12 Sc 3.14, 4 Os 3.28
Os (0.7500, 0.7500, 0.7500)  12 Sc 3.14, 4 Re 3.28

size of the total moment: 0.00 μB/f.u.
volume: 18.19 A^3/atom
space group: F-43m, No. 216
energy of formation from the pure elements: 3.9 eV per formula unit

3.
Here is an optimized crystal structure of ScRe2Os from Alexandria. Energies are from PBE.

abc: 4.4485 4.4485 4.4485
angles: 60.00 60.00 60.00
Closest atoms and distances in Å follow each position.
Fractional coordinates of all 4 atoms:
Sc (0.0000, 0.0000, 0.0000)  8 Re 2.72
Re (0.2500, 0.2500, 0.2500)  4 Os 2.72, 4 Sc 2.72
Re (0.7500, 0.7500, 0.7500)  4 Os 2.72, 4 Sc 2.72
Os (0.5000, 0.5000, 0.5000)  8 Re 2.72

size of the total moment: 0.00 μB/f.u.
volume: 15.56 A^3/atom
space group: Fm-3m, No. 225
relative energy among the computed polymorphs: 18.2 kJ per mole of atoms
energy of formation from the pure elements: 0.6 eV per formula unit

4.
Here is an optimized crystal structure of ScRe2Os from Alexandria. Energies are from PBE.

abc: 5.0324 5.0324 2.8216
angles: 90.00 90.00 117.60
Closest atoms and distances in Å follow each position.
Fractional coordinates of all 4 atoms:
Os (0.0000, 0.5000, 0.5000)  2 Sc 2.61, 2 Os 2.82, 8 Re 2.88
Re (0.0000, 0.0000, 0.0000)  4 Re 2.61-2.82, 4 Sc 2.88, 4 Os 2.88
Re (0.5000, 0.5000, 0.0000)  4 Re 2.61-2.82, 4 Os 2.88, 4 Sc 2.88
Sc (0.5000, 0.0000, 0.5000)  2 Os 2.61, 2 Sc 2.82, 8 Re 2.88

size of the total moment: 0.00 μB/f.u.
volume: 15.83 A^3/atom
space group: Cmmm, No. 65
relative energy among the computed polymorphs: 21.3 kJ per mole of atoms
energy of formation from the pure elements: 0.7 eV per formula unit

> Number 2 is which compound?

Sc4ReOs